1.
Ta6SbMo5: optimized geometry, GGA-PBE.

Lattice parameters (Å, degrees): 4.6021 6.5678 13.7725 90.00 90.00 90.00
Space group Immm (No. 71)
Symmetry-distinct sites (fractional):
1 Ta 0.0000 0.2314 0.0000 [4 per cell]
2 Ta 0.0000 0.2559 0.3285 [8 per cell]
3 Sb 0.0000 0.0000 0.5000 [2 per cell]
4 Mo 0.0000 0.0000 0.1687 [4 per cell]
5 Mo 0.0000 0.5000 0.1616 [4 per cell]
6 Mo 0.0000 0.5000 0.5000 [2 per cell]

Uncorrected formation energy in eV/atom: -0.134
VASP energy in eV/cell: -262.0
Magnetization in μB per formula unit: 0.00

***

2.
ZnTeAs2: optimized geometry, GGA-PBE.

Lattice parameters (Å, degrees): 11.7157 3.9541 4.1883 90.00 108.36 90.00
Space group C2/m (No. 12)
Symmetry-distinct sites (fractional):
1 Zn 0.0000 0.0000 0.0000 [2 per cell]
2 Te 0.0000 0.5000 0.5000 [2 per cell]
3 As 0.2419 0.0000 0.1836 [4 per cell]

Energy above the most stable polymorph in this dataset in meV/atom: 92
Uncorrected formation energy in eV/atom: -0.021
VASP energy in eV/cell: -27.6
Magnetization in μB per formula unit: 0.00

***

3.
ScCo2Mo: optimized geometry, GGA-PBE.

Lattice parameters (Å, degrees): 8.1864 2.7560 5.3432 90.00 97.30 90.00
Space group C2/m (No. 12)
Symmetry-distinct sites (fractional):
1 Sc 0.0000 0.0000 0.0000 [2 per cell]
2 Co 0.2494 0.0000 0.7049 [4 per cell]
3 Mo 0.0000 0.5000 0.5000 [2 per cell]

VASP energy in eV/cell: -61.1
Magnetization in μB per formula unit: 1.79

***

4.
Al3ZnTc: optimized geometry, GGA-PBE.

Lattice parameters (Å, degrees): 4.7575 4.7575 4.7575 90.00 90.00 90.00
Space group Pm-3m (No. 221)
Symmetry-distinct sites (fractional):
1 Al 0.0000 0.0000 0.5000 [3 per cell]
2 Zn 0.5000 0.5000 0.5000 [1 per cell]
3 Tc 0.0000 0.0000 0.0000 [1 per cell]

Energy above the most stable polymorph in this dataset in meV/atom: 573
VASP energy in eV/cell: -21.3
Magnetization in μB per formula unit: 0.00

***

- VASP energy of number 4 (Al3ZnTc)?
  -21.3 eV/cell

***

- What is the VASP energy in the first record?
  -262.0 eV/cell